# GdZrAgAu

Crystalline GdZrAgAu at its relaxed geometry (PBE, Alexandria via LeMat-Bulk).

Cell lengths 7.097, 7.097, 7.097 Å; angles 90.00, 90.00, 90.00 degrees
Space group F-43m (No. 216)
Inequivalent atoms, fractional coordinates:
Gd 0.000 0.000 0.000
Zr 0.000 0.000 0.500
Ag 0.250 0.250 0.750
Au 0.250 0.250 0.250

Summary:
magnetic moment: 2.0669 μB per atom
DFT total energy: -120.24 eV/cell
energy of formation from the pure elements: -0.326 eV/atom



# ZrGaSb2Te

Crystalline ZrGaSb2Te at its relaxed geometry (PBE, Alexandria via LeMat-Bulk).

Cell lengths 5.188, 5.188, 5.327 Å; angles 90.00, 90.00, 90.00 degrees
Space group P4/mmm (No. 123)
Inequivalent atoms, fractional coordinates:
Zr 0.000 0.000 0.000
Ga 0.500 0.500 0.500
Sb 0.000 0.500 0.500
Te 0.500 0.500 0.000

Summary:
magnetic moment: 0.1335 μB per atom
DFT total energy: -20.02 eV/cell
E above lowest polymorph: 470.4 meV/atom



# Th4Tl3Cd

Crystalline Th4Tl3Cd at its relaxed geometry (PBE, Alexandria via LeMat-Bulk).

Cell lengths 4.674, 4.959, 9.938 Å; angles 90.00, 90.00, 90.00 degrees
Space group Pmmm (No. 47)
Inequivalent atoms, fractional coordinates:
Th 0.000 0.000 0.000
Th 0.000 0.000 0.500
Th 0.000 0.500 0.248
Tl 0.500 0.000 0.246
Tl 0.500 0.500 0.500
Cd 0.500 0.500 0.000

Summary:
magnetic moment: 0.0000 μB per atom
DFT total energy: -38.73 eV/cell
energy of formation from the pure elements: -0.130 eV/atom



# Dy4AsSe2N

Crystalline Dy4AsSe2N at its relaxed geometry (PBE, Alexandria via LeMat-Bulk).

Cell lengths 6.812, 3.896, 6.970 Å; angles 90.00, 108.82, 90.00 degrees
Space group P2/m (No. 10)
Inequivalent atoms, fractional coordinates:
Dy 0.215 0.000 0.210
Dy 0.229 0.500 0.782
As 0.500 0.000 0.000
Se 0.000 0.000 0.500
Se 0.500 0.500 0.500
N 0.000 0.500 0.000

Summary:
magnetic moment: 0.0000 μB per atom
DFT total energy: -51.38 eV/cell